i.
## NaFe5O8 (PBE with a Hubbard U)

Data for a relaxed structure of NaFe5O8.

Unit cell a=8.5326 b=8.5326 c=8.5326 alpha=90.00 beta=90.00 gamma=90.00
With the nearest neighbours (Å) after each atom.
Element x y z (fractional)
Fe 0.7509 0.2491 0.7491  4 O 1.90-2.00
O 0.1296 0.6045 0.3522  3 Fe 1.90-2.11
Fe 0.3743 0.8757 0.1250  6 O 1.94-2.11
Fe 0.4991 0.5009 0.0009  4 O 1.90-2.00
O 0.3545 0.6204 0.6022  3 Fe 1.90-2.11
O 0.6204 0.6022 0.3545  3 Fe 1.90-2.11
Fe 0.2491 0.7491 0.7509  4 O 1.90-2.00
O 0.6296 0.8955 0.6478  3 Fe 1.90-2.11
O 0.6478 0.6296 0.8955  3 Fe 1.90-2.11
O 0.3639 0.6361 0.1361  4 Fe 2.00-2.05
O 0.6022 0.3545 0.6204  3 Fe 1.90-2.11
O 0.6045 0.3522 0.1296  3 Fe 1.90-2.11
O 0.3978 0.8545 0.8796  3 Fe 1.90-2.11
O 0.1455 0.3796 0.1022  3 Fe 1.90-2.11
O 0.1045 0.1478 0.8704  3 Fe 1.90-2.11
O 0.3704 0.3955 0.8522  3 Fe 1.90-2.11
Fe 0.2509 0.2509 0.2509  4 O 1.90-2.00
Fe 0.9991 0.9991 0.9991  4 O 1.90-2.00
O 0.6455 0.1204 0.8978  3 Fe 1.90-2.11
Fe 0.0009 0.4991 0.5009  4 O 1.90-2.00
Na 0.1250 0.8750 0.3750  6 O 2.32
O 0.8796 0.3978 0.8545  3 Fe 1.90-2.11
O 0.1478 0.8704 0.1045  3 Fe 1.90-2.11
O 0.8978 0.6455 0.1204  3 Fe 1.90-2.11
Fe 0.5009 0.0009 0.4991  4 O 1.90-2.00
Fe 0.8743 0.6243 0.8750  6 O 1.94-2.11
O 0.1022 0.1455 0.3796  3 Fe 1.90-2.11
O 0.3861 0.3861 0.3861  4 Fe 2.00-2.05
Fe 0.8757 0.1250 0.3743  6 O 1.94-2.11
Fe 0.1257 0.1243 0.6250  6 O 1.94-2.11
Fe 0.1250 0.3743 0.8757  6 O 1.94-2.11
O 0.6139 0.8861 0.1139  4 Fe 2.00-2.05
Fe 0.6250 0.1257 0.1243  6 O 1.94-2.11
O 0.8704 0.1045 0.1478  3 Fe 1.90-2.11
Fe 0.6257 0.3757 0.3750  6 O 1.94-2.11
O 0.1204 0.8978 0.6455  3 Fe 1.90-2.11
O 0.3522 0.1296 0.6045  3 Fe 1.90-2.11
Fe 0.6243 0.8750 0.8743  6 O 1.94-2.11
Na 0.3750 0.1250 0.8750  6 O 2.32
O 0.8955 0.6478 0.6296  3 Fe 1.90-2.11
O 0.3955 0.8522 0.3704  3 Fe 1.90-2.11
O 0.1361 0.3639 0.6361  4 Fe 2.00-2.05
O 0.8639 0.8639 0.8639  4 Fe 2.00-2.05
Fe 0.7491 0.7509 0.2491  4 O 1.90-2.00
Na 0.8750 0.3750 0.1250  6 O 2.32
O 0.6361 0.1361 0.3639  4 Fe 2.00-2.05
O 0.8861 0.1139 0.6139  4 Fe 2.00-2.05
Fe 0.8750 0.8743 0.6243  6 O 1.94-2.11
Fe 0.3757 0.3750 0.6257  6 O 1.94-2.11
Fe 0.3750 0.6257 0.3757  6 O 1.94-2.11
Fe 0.1243 0.6250 0.1257  6 O 1.94-2.11
O 0.8545 0.8796 0.3978  3 Fe 1.90-2.11
Na 0.6250 0.6250 0.6250  6 O 2.32
O 0.3796 0.1022 0.1455  3 Fe 1.90-2.11
O 0.1139 0.6139 0.8861  4 Fe 2.00-2.05
O 0.8522 0.3704 0.3955  3 Fe 1.90-2.11

Results
crystal system = cubic

***

ii.
## NaFe5O8 (PBE with a Hubbard U)

Data for a relaxed structure of NaFe5O8.

Unit cell a=6.0575 b=6.0575 c=6.0000 alpha=60.31 beta=90.00 gamma=120.63
With the nearest neighbours (Å) after each atom.
Element x y z (fractional)
Fe 0.6250 0.2500 0.6250  6 O 1.98-2.19
Fe 0.0112 0.9776 0.0112  4 O 1.93
Fe 0.6250 0.2500 0.1250  6 O 1.98-2.19
O 0.3683 0.2633 0.3683  1 Fe 1.93
O 0.3661 0.7874 0.8465  3 Fe 1.93-1.98
Fe 0.1250 0.7500 0.6250  6 O 1.98-2.19
Fe 0.2388 0.5224 0.2388  4 O 1.93
O 0.3661 0.7874 0.3661  3 Fe 1.93-1.98
O 0.4035 0.2322 0.8839  3 Fe 1.93-1.98
O 0.8839 0.7126 0.8839  3 Fe 1.93-1.98
O 0.8839 0.7126 0.4035  3 Fe 1.93-1.98
O 0.8817 0.2367 0.8817  1 Fe 1.93
O 0.8465 0.2678 0.3661  3 Fe 1.93-1.98
Na 0.6250 0.7500 0.6250  6 O 2.22

Results
crystal system = trigonal

***

Which of them is the most stable, and which is the least stable? i and ii, in that order.

***

i.
## Na5FeO4 (PBE with a Hubbard U)

Data for a relaxed structure of Na5FeO4.

Unit cell a=6.0261 b=10.5285 c=18.1840 alpha=90.00 beta=90.00 gamma=90.00
With the nearest neighbours (Å) after each atom.
Element x y z (fractional)
O 0.3024 0.1329 0.0446  1 Fe 1.90
O 0.8024 0.8671 0.4554  1 Fe 1.90
O 0.6432 0.5489 0.8787  1 Fe 1.90
Na 0.1024 0.9220 0.7478  4 O 2.38-2.45
Na 0.5821 0.4395 0.4348  3 O 2.25-2.35
Na 0.6048 0.8261 0.6713  4 O 2.32-2.53
O 0.7380 0.6354 0.6252  1 Fe 1.93
Na 0.0740 0.3005 0.1408  4 O 2.35-2.52
Na 0.0821 0.5605 0.0652  3 O 2.25-2.35
O 0.1976 0.6329 0.9554  1 Fe 1.90
Na 0.9260 0.1995 0.6408  4 O 2.35-2.52
Na 0.4260 0.3005 0.6408  4 O 2.35-2.52
Fe 0.1716 0.0404 0.1232  4 O 1.90-1.93
Fe 0.1716 0.5404 0.3768  4 O 1.90-1.93
O 0.6432 0.0489 0.6213  1 Fe 1.90
O 0.7620 0.6354 0.1252  1 Fe 1.93
Na 0.6024 0.0780 0.7522  4 O 2.38-2.45
Fe 0.3284 0.5404 0.8768  4 O 1.90-1.93
Fe 0.3284 0.0404 0.6232  4 O 1.90-1.93
Fe 0.6716 0.4596 0.1232  4 O 1.90-1.93
Na 0.1024 0.4220 0.7522  4 O 2.38-2.45
Na 0.4084 0.3357 0.0020  4 O 2.36-2.55
O 0.1976 0.1329 0.5446  1 Fe 1.90
Na 0.9260 0.6995 0.8592  4 O 2.35-2.52
O 0.8024 0.3671 0.0446  1 Fe 1.90
O 0.2635 0.6261 0.2880  1 Fe 1.93
O 0.8568 0.0489 0.1213  1 Fe 1.90
Fe 0.6716 0.9596 0.3768  4 O 1.90-1.93
O 0.1432 0.9511 0.8787  1 Fe 1.90
Na 0.5821 0.9395 0.0652  3 O 2.25-2.35
O 0.8568 0.5489 0.3787  1 Fe 1.90
Na 0.6024 0.5780 0.7478  4 O 2.38-2.45
O 0.3568 0.9511 0.3787  1 Fe 1.90
O 0.7635 0.3739 0.2120  1 Fe 1.93
Na 0.5740 0.1995 0.1408  4 O 2.35-2.52
Na 0.4179 0.5605 0.5652  3 O 2.25-2.35
Na 0.0740 0.8005 0.3592  4 O 2.35-2.52
Na 0.5916 0.1643 0.5020  4 O 2.36-2.55
O 0.2380 0.3646 0.8748  1 Fe 1.93
O 0.6976 0.8671 0.9554  1 Fe 1.90
Na 0.4084 0.8357 0.4980  4 O 2.36-2.55
Na 0.1048 0.1739 0.8287  4 O 2.32-2.53
O 0.3568 0.4511 0.1213  1 Fe 1.90
Na 0.3952 0.1739 0.3287  4 O 2.32-2.53
Na 0.3976 0.9220 0.2478  4 O 2.38-2.45
O 0.2380 0.8646 0.6252  1 Fe 1.93
Na 0.4260 0.8005 0.8592  4 O 2.35-2.52
O 0.7620 0.1354 0.3748  1 Fe 1.93
O 0.7365 0.3739 0.7120  1 Fe 1.93
O 0.2365 0.1261 0.7120  1 Fe 1.93
Fe 0.8284 0.9596 0.8768  4 O 1.90-1.93
O 0.2635 0.1261 0.2120  1 Fe 1.93
Na 0.4179 0.0605 0.9348  3 O 2.25-2.35
Na 0.9084 0.6643 0.4980  4 O 2.36-2.55
Na 0.6048 0.3261 0.8287  4 O 2.32-2.53
O 0.6976 0.3671 0.5446  1 Fe 1.90
Na 0.0916 0.8357 0.9980  4 O 2.36-2.55
Na 0.0821 0.0605 0.4348  3 O 2.25-2.35
O 0.1432 0.4511 0.6213  1 Fe 1.90
O 0.2620 0.8646 0.1252  1 Fe 1.93
O 0.2620 0.3646 0.3748  1 Fe 1.93
Na 0.5740 0.6995 0.3592  4 O 2.35-2.52
Na 0.3976 0.4220 0.2522  4 O 2.38-2.45
O 0.7635 0.8739 0.2880  1 Fe 1.93
O 0.7365 0.8739 0.7880  1 Fe 1.93
Na 0.8976 0.5780 0.2478  4 O 2.38-2.45
Na 0.8976 0.0780 0.2522  4 O 2.38-2.45
Na 0.5916 0.6643 0.9980  4 O 2.36-2.55
O 0.7380 0.1354 0.8748  1 Fe 1.93
Na 0.9179 0.9395 0.5652  3 O 2.25-2.35
Na 0.9084 0.1643 0.0020  4 O 2.36-2.55
Na 0.8952 0.3261 0.3287  4 O 2.32-2.53
Na 0.9179 0.4395 0.9348  3 O 2.25-2.35
Na 0.1048 0.6739 0.6713  4 O 2.32-2.53
Na 0.8952 0.8261 0.1713  4 O 2.32-2.53
Fe 0.8284 0.4596 0.6232  4 O 1.90-1.93
O 0.3024 0.6329 0.4554  1 Fe 1.90
Na 0.3952 0.6739 0.1713  4 O 2.32-2.53
O 0.2365 0.6261 0.7880  1 Fe 1.93
Na 0.0916 0.3357 0.5020  4 O 2.36-2.55

Results
crystal system = orthorhombic

***

ii.
## Na5FeO4 (PBE with a Hubbard U)

Data for a relaxed structure of Na5FeO4.

Unit cell a=10.3420 b=10.5986 c=10.7257 alpha=90.00 beta=90.00 gamma=90.00
With the nearest neighbours (Å) after each atom.
Element x y z (fractional)
O 0.5033 0.9481 0.7428  1 Fe 1.95
Na 0.1380 0.3476 0.1162  4 O 2.33-2.45
Na 0.9152 0.1212 0.1432  4 O 2.28-2.37
Na 0.8620 0.1524 0.6162  4 O 2.33-2.45
O 0.9967 0.4481 0.2572  1 Fe 1.95
Fe 0.3860 0.1471 0.3700  4 O 1.93-1.95
O 0.7276 0.4747 0.9504  1 Fe 1.95
Fe 0.6140 0.3529 0.8700  4 O 1.93-1.95
Fe 0.1140 0.6471 0.6300  4 O 1.93-1.95
Na 0.6380 0.1524 0.1162  4 O 2.33-2.45
Fe 0.3860 0.6471 0.1300  4 O 1.93-1.95
Na 0.1442 0.6171 0.9003  4 O 2.30-2.49
Na 0.3976 0.6208 0.6631  4 O 2.36-2.40
Na 0.8316 0.1060 0.8844  4 O 2.31-2.49
O 0.5033 0.4481 0.7572  1 Fe 1.95
Na 0.3316 0.8940 0.6156  4 O 2.31-2.49
Fe 0.8860 0.3529 0.3700  4 O 1.93-1.95
O 0.7780 0.2534 0.2611  1 Fe 1.93
O 0.2780 0.7466 0.2389  1 Fe 1.93
Na 0.3558 0.6171 0.4003  4 O 2.30-2.49
Na 0.6684 0.6060 0.1156  4 O 2.31-2.49
O 0.2276 0.5253 0.5496  1 Fe 1.95
Na 0.6024 0.3792 0.3369  4 O 2.36-2.40
O 0.7724 0.4747 0.4504  1 Fe 1.95
O 0.2276 0.0253 0.9504  1 Fe 1.95
Na 0.6380 0.6524 0.3838  4 O 2.33-2.45
Na 0.9152 0.6212 0.3568  4 O 2.28-2.37
Na 0.1024 0.1208 0.3369  4 O 2.36-2.40
Na 0.4152 0.8788 0.3568  4 O 2.28-2.37
Na 0.5848 0.1212 0.6432  4 O 2.28-2.37
Na 0.1024 0.6208 0.1631  4 O 2.36-2.40
Na 0.3620 0.3476 0.6162  4 O 2.33-2.45
Na 0.6024 0.8792 0.1631  4 O 2.36-2.40
O 0.4986 0.7419 0.0211  1 Fe 1.93
Na 0.1684 0.3940 0.3844  4 O 2.31-2.49
Na 0.6684 0.1060 0.3844  4 O 2.31-2.49
Na 0.6442 0.3829 0.5997  4 O 2.30-2.49
Na 0.5848 0.6212 0.8568  4 O 2.28-2.37
O 0.5014 0.2581 0.9789  1 Fe 1.93
Na 0.8558 0.8829 0.4003  4 O 2.30-2.49
O 0.0014 0.2419 0.9789  1 Fe 1.93
Na 0.1684 0.8940 0.1156  4 O 2.31-2.49
O 0.4986 0.2419 0.4789  1 Fe 1.93
Fe 0.1140 0.1471 0.8700  4 O 1.93-1.95
Na 0.8976 0.3792 0.8369  4 O 2.36-2.40
O 0.2220 0.2466 0.7611  1 Fe 1.93
Na 0.1442 0.1171 0.5997  4 O 2.30-2.49
Na 0.1380 0.8476 0.3838  4 O 2.33-2.45
O 0.0014 0.7419 0.5211  1 Fe 1.93
Na 0.8316 0.6060 0.6156  4 O 2.31-2.49
O 0.4967 0.5519 0.2428  1 Fe 1.95
O 0.2724 0.5253 0.0496  1 Fe 1.95
Na 0.8558 0.3829 0.0997  4 O 2.30-2.49
O 0.7220 0.7534 0.7389  1 Fe 1.93
O 0.2220 0.7466 0.7389  1 Fe 1.93
Na 0.3976 0.1208 0.8369  4 O 2.36-2.40
Na 0.8976 0.8792 0.6631  4 O 2.36-2.40
Na 0.0848 0.8788 0.8568  4 O 2.28-2.37
O 0.5014 0.7581 0.5211  1 Fe 1.93
Na 0.3558 0.1171 0.0997  4 O 2.30-2.49
Fe 0.8860 0.8529 0.1300  4 O 1.93-1.95
O 0.9967 0.9481 0.2428  1 Fe 1.95
O 0.7220 0.2534 0.7611  1 Fe 1.93
Na 0.3620 0.8476 0.8838  4 O 2.33-2.45
Na 0.0848 0.3788 0.6432  4 O 2.28-2.37
O 0.7276 0.9747 0.5496  1 Fe 1.95
O 0.7724 0.9747 0.0496  1 Fe 1.95
O 0.0033 0.5519 0.7428  1 Fe 1.95
O 0.2724 0.0253 0.4504  1 Fe 1.95
O 0.2780 0.2466 0.2611  1 Fe 1.93
Na 0.4152 0.3788 0.1432  4 O 2.28-2.37
Na 0.6442 0.8829 0.9003  4 O 2.30-2.49
Fe 0.6140 0.8529 0.6300  4 O 1.93-1.95
O 0.4967 0.0519 0.2572  1 Fe 1.95
O 0.9986 0.7581 0.0211  1 Fe 1.93
Na 0.3316 0.3940 0.8844  4 O 2.31-2.49
O 0.7780 0.7534 0.2389  1 Fe 1.93
O 0.9986 0.2581 0.4789  1 Fe 1.93
Na 0.8620 0.6524 0.8838  4 O 2.33-2.45
O 0.0033 0.0519 0.7572  1 Fe 1.95

Results
crystal system = orthorhombic

***

Which of them is the most stable, and which is the least stable? ii and i, in that order.

***

i.
## NaFePO4 (PBE with a Hubbard U)

Data for a relaxed structure of NaFePO4.

Unit cell a=5.1131 b=6.9201 c=9.1184 alpha=90.00 beta=90.00 gamma=90.00
With the nearest neighbours (Å) after each atom.
Element x y z (fractional)
P 0.5350 0.2500 0.3250  4 O 1.55-1.57
Fe 0.5000 0.0000 0.0000  4 O 2.02-2.23
O 0.5449 0.2500 0.1527  1 P 1.57
O 0.2487 0.2500 0.3839  1 P 1.56
Fe 0.0000 0.0000 0.5000  4 O 2.02-2.23
O 0.6802 0.0676 0.3795  1 P 1.55
P 0.4650 0.7500 0.6750  4 O 1.55-1.57
O 0.7513 0.7500 0.6161  1 P 1.56
O 0.8198 0.0676 0.8795  1 P 1.55
O 0.0449 0.7500 0.3473  1 P 1.57
Na 0.5291 0.7500 0.3487  4 O 2.35-2.48
Na 0.4709 0.2500 0.6513  4 O 2.35-2.48
O 0.1802 0.9324 0.1205  1 P 1.55
Fe 0.5000 0.5000 0.0000  4 O 2.02-2.23
O 0.8198 0.4324 0.8795  1 P 1.55
Na 0.0291 0.2500 0.1513  4 O 2.35-2.48
P 0.9650 0.2500 0.8250  4 O 1.55-1.57
O 0.3198 0.9324 0.6205  1 P 1.55
Na 0.9709 0.7500 0.8487  4 O 2.35-2.48
O 0.6802 0.4324 0.3795  1 P 1.55
Fe 0.0000 0.5000 0.5000  4 O 2.02-2.23
O 0.4551 0.7500 0.8473  1 P 1.57
O 0.9551 0.2500 0.6527  1 P 1.57
P 0.0350 0.7500 0.1750  4 O 1.55-1.57
O 0.3198 0.5676 0.6205  1 P 1.55
O 0.7487 0.7500 0.1161  1 P 1.56
O 0.2513 0.2500 0.8839  1 P 1.56
O 0.1802 0.5676 0.1205  1 P 1.55

Results
crystal system = orthorhombic

***

ii.
## NaFePO4 (PBE with a Hubbard U)

Data for a relaxed structure of NaFePO4.

Unit cell a=5.2677 b=5.6510 c=6.2467 alpha=90.00 beta=106.00 gamma=90.00
With the nearest neighbours (Å) after each atom.
Element x y z (fractional)
O 0.0678 0.9670 0.2964  1 P 1.57
Na 0.7046 0.7500 0.9397  2 O 2.29-2.30
O 0.4473 0.7500 0.1820  1 P 1.55
Fe 0.1990 0.2500 0.5270  6 O 2.14-2.36
P 0.2628 0.7500 0.3363  4 O 1.55-1.57
O 0.4403 0.7500 0.5788  1 P 1.55
O 0.5597 0.2500 0.4212  1 P 1.55
P 0.7372 0.2500 0.6637  4 O 1.55-1.57
O 0.0678 0.5330 0.2964  1 P 1.57
O 0.9322 0.4670 0.7036  1 P 1.57
O 0.9322 0.0330 0.7036  1 P 1.57
Na 0.2954 0.2500 0.0603  2 O 2.29-2.30
Fe 0.8010 0.7500 0.4730  6 O 2.14-2.36
O 0.5527 0.2500 0.8180  1 P 1.55

Results
crystal system = monoclinic

***

Which of them is the most stable, and which is the least stable? i and ii, in that order.

***

i.
## NaFeS2O2 (PBE with a Hubbard U)

Data for a relaxed structure of NaFeS2O2.

Unit cell a=5.8600 b=5.8600 c=6.3545 alpha=69.30 beta=69.30 gamma=81.99
With the nearest neighbours (Å) after each atom.
Element x y z (fractional)
Fe 0.1631 0.8369 0.2500  2 O 2.12
S 0.7456 0.9535 0.1689  1 O 1.63
S 0.9535 0.7456 0.6689  1 O 1.63
O 0.2254 0.4881 0.2065  1 S 1.63
Fe 0.8369 0.1631 0.7500  2 O 2.12
S 0.2544 0.0465 0.8311  1 O 1.63
O 0.4881 0.2254 0.7065  1 S 1.63
O 0.7746 0.5119 0.7935  1 S 1.63
Na 0.6031 0.3969 0.2500  2 O 2.29
Na 0.3969 0.6031 0.7500  2 O 2.29
O 0.5119 0.7746 0.2935  1 S 1.63
S 0.0465 0.2544 0.3311  1 O 1.63

Results
crystal system = monoclinic

***

ii.
## NaFeS2O2 (PBE with a Hubbard U)

Data for a relaxed structure of NaFeS2O2.

Unit cell a=6.4570 b=6.4570 c=6.6096 alpha=84.13 beta=84.13 gamma=120.26
With the nearest neighbours (Å) after each atom.
Element x y z (fractional)
O 0.7568 0.7628 0.4459  1 S 1.70
O 0.2372 0.2432 0.0541  1 S 1.70
O 0.2432 0.2372 0.5541  1 S 1.70
S 0.9413 0.6449 0.0096  1 O 1.70
Fe 0.0740 0.9260 0.2500  2 O 2.00
S 0.0587 0.3551 0.9904  1 O 1.70
Fe 0.9260 0.0740 0.7500  2 O 2.00
S 0.3551 0.0587 0.4904  1 O 1.70
Na 0.4466 0.5534 0.2500  4 O 2.38-2.42
O 0.7628 0.7568 0.9459  1 S 1.70
S 0.6449 0.9413 0.5096  1 O 1.70
Na 0.5534 0.4466 0.7500  4 O 2.38-2.42

Results
crystal system = monoclinic

***

Which of them is the most stable, and which is the least stable? i and ii, in that order.